Computed, not measured: a relaxed structure of SrFe2Ir at the GGA-PBE level of DFT.

Cell: 4.5532 4.2963 4.7124 Å, 90.00 90.84 90.00°
Fractional coordinates of all 4 atoms:
1 Sr 0.0000 0.0000 0.0000
2 Fe 0.2451 0.5000 0.5057
3 Fe 0.7549 0.5000 0.4943
4 Ir 0.5000 0.0000 0.5000

Calculated values
Crystal system: monoclinic
E in eV/atom: -6.370
Fermi-level density of states in states/eV/cell: 4.16

Computed, not measured: a relaxed structure of SrFeIr2 at the GGA-PBE level of DFT.

Cell: 9.7829 9.7829 9.7829 Å, 16.84 16.84 16.84°
Fractional coordinates of all 4 atoms:
1 Sr 0.0000 0.0000 0.0000
2 Fe 0.2364 0.2364 0.2364
3 Ir 0.5016 0.5016 0.5016
4 Ir 0.7588 0.7588 0.7588

Calculated values
Crystal system: trigonal
E in eV/atom: -6.253
Fermi-level density of states in states/eV/cell: 4.10

Computed, not measured: a relaxed structure of SrFe2Ir at the GGA-PBE level of DFT.

Cell: 3.1437 3.1437 7.2885 Å, 90.00 90.00 90.00°
Fractional coordinates of all 4 atoms:
1 Sr 0.0000 0.0000 0.0000
2 Fe 0.0000 0.0000 0.4992
3 Fe 0.5000 0.5000 0.3408
4 Ir 0.5000 0.5000 0.6873

Calculated values
Crystal system: tetragonal
E in eV/atom: -6.519
Fermi-level density of states in states/eV/cell: 4.15

Computed, not measured: a relaxed structure of SrFe2Ir at the GGA-PBE level of DFT.

Cell: 2.9725 3.7071 6.7843 Å, 90.00 90.00 90.00°
Fractional coordinates of all 4 atoms:
1 Sr 0.0000 0.0000 0.0000
2 Fe 0.5000 0.5000 0.3366
3 Fe 0.5000 0.5000 0.6634
4 Ir 0.0000 0.0000 0.5000

Calculated values
Crystal system: orthorhombic
E in eV/atom: -6.481
Fermi-level density of states in states/eV/cell: 4.81

Computed, not measured: a relaxed structure of SrFeIr2 at the GGA-PBE level of DFT.

Cell: 8.4892 8.4892 8.4892 Å, 145.84 145.84 49.08°
Fractional coordinates of all 8 atoms:
1 Sr 0.0000 0.0000 0.0000
2 Sr 0.7500 0.2500 0.5000
3 Fe 0.2500 0.7500 0.5000
4 Fe 0.5000 0.5000 0.0000
5 Ir 0.3217 0.1250 0.6967
6 Ir 0.3750 0.6783 0.8033
7 Ir 0.4283 0.6250 0.3033
8 Ir 0.8750 0.5717 0.1967

Calculated values
Crystal system: tetragonal
E in eV/atom: -6.547
Fermi-level density of states in states/eV/cell: 10.43

Computed, not measured: a relaxed structure of SrFeIr2 at the GGA-PBE level of DFT.

Cell: 5.9319 5.9319 5.9319 Å, 43.14 43.14 43.14°
Fractional coordinates of all 4 atoms:
1 Sr 0.0000 0.0000 0.0000
2 Fe 0.1882 0.1882 0.1882
3 Ir 0.4910 0.4910 0.4910
4 Ir 0.8106 0.8106 0.8106

Calculated values
Crystal system: trigonal
E in eV/atom: -7.004
Fermi-level density of states in states/eV/cell: 5.82

Computed, not measured: a relaxed structure of Sr2FeIr2 at the GGA-PBE level of DFT.

Cell: 6.5390 6.5390 4.9583 Å, 90.00 90.00 90.00°
Fractional coordinates of all 10 atoms:
1 Sr 0.1799 0.3201 0.0000
2 Sr 0.3201 0.8201 0.0000
3 Sr 0.6799 0.1799 0.0000
4 Sr 0.8201 0.6799 0.0000
5 Fe 0.0000 0.0000 0.5000
6 Fe 0.5000 0.5000 0.5000
7 Ir 0.1372 0.6372 0.5000
8 Ir 0.3628 0.1372 0.5000
9 Ir 0.6372 0.8628 0.5000
10 Ir 0.8628 0.3628 0.5000

Calculated values
Crystal system: tetragonal
E in eV/atom: -5.723
Fermi-level density of states in states/eV/cell: 13.78

Computed, not measured: a relaxed structure of SrFeIr2 at the GGA-PBE level of DFT.

Cell: 4.6852 4.6852 3.2766 Å, 90.00 90.00 90.00°
Fractional coordinates of all 4 atoms:
1 Sr 0.0000 0.0000 0.0000
2 Fe 0.5000 0.5000 0.0000
3 Ir 0.0000 0.5000 0.5000
4 Ir 0.5000 0.0000 0.5000

Calculated values
Crystal system: tetragonal
E in eV/atom: -6.398
Fermi-level density of states in states/eV/cell: 1.86

Computed, not measured: a relaxed structure of SrFe2Ir at the GGA-PBE level of DFT.

Cell: 5.8937 5.8937 5.8937 Å, 42.03 42.03 42.03°
Fractional coordinates of all 4 atoms:
1 Sr 0.0000 0.0000 0.0000
2 Fe 0.1881 0.1881 0.1881
3 Fe 0.8119 0.8119 0.8119
4 Ir 0.5000 0.5000 0.5000

Calculated values
Crystal system: trigonal
E in eV/atom: -6.774
Fermi-level density of states in states/eV/cell: 5.50

Computed, not measured: a relaxed structure of SrFe2Ir at the GGA-PBE level of DFT.

Cell: 5.7989 5.7989 5.7989 Å, 150.08 128.34 60.86°
Fractional coordinates of all 4 atoms:
1 Sr 0.0000 0.0000 0.0000
2 Fe 0.2916 0.7916 0.5000
3 Fe 0.7084 0.2084 0.5000
4 Ir 0.5000 0.5000 0.0000

Calculated values
Crystal system: orthorhombic
E in eV/atom: -6.347
Fermi-level density of states in states/eV/cell: 4.53

Computed, not measured: a relaxed structure of Sr4FeIr at the GGA-PBE level of DFT.

Cell: 6.4874 6.4874 6.4874 Å, 60.00 60.00 60.00°
Fractional coordinates of all 6 atoms:
1 Sr 0.3756 0.3756 0.3756
2 Sr 0.3756 0.3756 0.8733
3 Sr 0.3756 0.8733 0.3756
4 Sr 0.8733 0.3756 0.3756
5 Fe 0.0000 0.0000 0.0000
6 Ir 0.7500 0.7500 0.7500

Calculated values
Crystal system: cubic
E in eV/atom: -2.724
Fermi-level density of states in states/eV/cell: 10.96

Computed, not measured: a relaxed structure of SrFe2Ir at the GGA-PBE level of DFT.

Cell: 5.9793 5.9793 5.9793 Å, 41.40 41.40 41.40°
Fractional coordinates of all 4 atoms:
1 Sr 0.0000 0.0000 0.0000
2 Fe 0.1858 0.1858 0.1858
3 Fe 0.4885 0.4885 0.4885
4 Ir 0.8136 0.8136 0.8136

Calculated values
Crystal system: trigonal
E in eV/atom: -6.793
Fermi-level density of states in states/eV/cell: 3.76

Computed, not measured: a relaxed structure of SrFe2Ir at the GGA-PBE level of DFT.

Cell: 4.1092 4.1092 4.2150 Å, 90.00 90.00 90.00°
Fractional coordinates of all 4 atoms:
1 Sr 0.0000 0.0000 0.0000
2 Fe 0.0000 0.5000 0.5000
3 Fe 0.5000 0.0000 0.5000
4 Ir 0.5000 0.5000 0.0000

Calculated values
Crystal system: tetragonal
E in eV/atom: -6.173
Fermi-level density of states in states/eV/cell: 5.37

Computed, not measured: a relaxed structure of SrFeIr2 at the GGA-PBE level of DFT.

Cell: 4.5085 4.5085 6.4086 Å, 100.54 100.54 38.48°
Fractional coordinates of all 4 atoms:
1 Sr 0.0000 0.0000 0.0000
2 Fe 0.5000 0.5000 0.5000
3 Ir 0.2283 0.2283 0.6570
4 Ir 0.7717 0.7717 0.3430

Calculated values
Crystal system: monoclinic
E in eV/atom: -6.679
Fermi-level density of states in states/eV/cell: 4.02

Computed, not measured: a relaxed structure of SrFeIr2 at the GGA-PBE level of DFT.

Cell: 5.8452 5.8452 5.8452 Å, 150.89 129.74 59.13°
Fractional coordinates of all 4 atoms:
1 Sr 0.0000 0.0000 0.0000
2 Fe 0.2919 0.7919 0.5000
3 Ir 0.4964 0.4964 0.0000
4 Ir 0.7154 0.2154 0.5000

Calculated values
Crystal system: orthorhombic
E in eV/atom: -6.560
Fermi-level density of states in states/eV/cell: 3.70

Computed, not measured: a relaxed structure of SrFeIr at the GGA-PBE level of DFT.

Cell: 5.9935 5.9935 5.9935 Å, 146.94 146.94 47.46°
Fractional coordinates of all 3 atoms:
1 Sr 0.0000 0.0000 0.0000
2 Fe 0.7255 0.7255 0.0000
3 Ir 0.2824 0.2824 0.0000

Calculated values
Crystal system: tetragonal
E in eV/atom: -6.142
Fermi-level density of states in states/eV/cell: 1.73

Computed, not measured: a relaxed structure of SrFeIr2 at the GGA-PBE level of DFT.

Cell: 2.9563 4.8055 4.8752 Å, 90.00 90.00 90.00°
Fractional coordinates of all 4 atoms:
1 Sr 0.0000 0.0000 0.0000
2 Fe 0.5000 0.0000 0.5000
3 Ir 0.0000 0.5000 0.5000
4 Ir 0.5000 0.5000 0.0000

Calculated values
Crystal system: orthorhombic
E in eV/atom: -6.413
Fermi-level density of states in states/eV/cell: 4.31

Computed, not measured: a relaxed structure of SrFeIr2 at the GGA-PBE level of DFT.

Cell: 5.0562 5.0562 2.8776 Å, 90.00 90.00 107.91°
Fractional coordinates of all 4 atoms:
1 Sr 0.0000 0.0000 0.0000
2 Fe 0.5000 0.5000 0.0000
3 Ir 0.0000 0.5000 0.5000
4 Ir 0.5000 0.0000 0.5000

Calculated values
Crystal system: orthorhombic
E in eV/atom: -6.423
Fermi-level density of states in states/eV/cell: 4.75

Computed, not measured: a relaxed structure of SrFeIr2 at the GGA-PBE level of DFT.

Cell: 4.6598 4.6598 4.6598 Å, 60.00 60.00 60.00°
Fractional coordinates of all 4 atoms:
1 Sr 0.0000 0.0000 0.0000
2 Fe 0.5000 0.5000 0.5000
3 Ir 0.2500 0.2500 0.2500
4 Ir 0.7500 0.7500 0.7500

Calculated values
Crystal system: cubic
E in eV/atom: -6.413
Fermi-level density of states in states/eV/cell: 1.75

Computed, not measured: a relaxed structure of SrFeIr at the GGA-PBE level of DFT.

Cell: 4.1078 4.1078 4.7306 Å, 90.00 90.00 120.00°
Fractional coordinates of all 3 atoms:
1 Sr 0.0000 0.0000 0.0000
2 Fe 0.6667 0.3333 0.5000
3 Ir 0.3333 0.6667 0.5000

Calculated values
Crystal system: hexagonal
E in eV/atom: -6.258
Fermi-level density of states in states/eV/cell: 4.10

Computed, not measured: a relaxed structure of SrFe2Ir at the GGA-PBE level of DFT.

Cell: 9.5311 9.5311 9.5311 Å, 17.70 17.70 17.70°
Fractional coordinates of all 4 atoms:
1 Sr 0.0000 0.0000 0.0000
2 Fe 0.2368 0.2368 0.2368
3 Fe 0.7632 0.7632 0.7632
4 Ir 0.5000 0.5000 0.5000

Calculated values
Crystal system: trigonal
E in eV/atom: -6.021
Fermi-level density of states in states/eV/cell: 6.78

Computed, not measured: a relaxed structure of SrFeIr2 at the GGA-PBE level of DFT.

Cell: 2.8604 4.1248 6.5651 Å, 90.00 102.37 90.00°
Fractional coordinates of all 4 atoms:
1 Sr 0.0000 0.0000 0.0000
2 Fe 0.0000 0.0000 0.5000
3 Ir 0.3719 0.5000 0.6803
4 Ir 0.6281 0.5000 0.3197

Calculated values
Crystal system: monoclinic
E in eV/atom: -6.663
Fermi-level density of states in states/eV/cell: 3.45

Computed, not measured: a relaxed structure of SrFeIr at the GGA-PBE level of DFT.

Cell: 4.6371 4.6371 4.6371 Å, 60.00 60.00 60.00°
Fractional coordinates of all 3 atoms:
1 Sr 0.0000 0.0000 0.0000
2 Fe 0.5000 0.5000 0.5000
3 Ir 0.7500 0.7500 0.7500

Calculated values
Crystal system: cubic
E in eV/atom: -5.726
Fermi-level density of states in states/eV/cell: 4.91

Computed, not measured: a relaxed structure of SrFeIr2 at the GGA-PBE level of DFT.

Cell: 4.3125 6.1472 6.1472 Å, 27.47 90.00 90.00°
Fractional coordinates of all 4 atoms:
1 Sr 0.0000 0.0000 0.0000
2 Fe 0.5000 0.6514 0.6514
3 Ir 0.0000 0.7513 0.7513
4 Ir 0.5000 0.3235 0.3235

Calculated values
Crystal system: orthorhombic
E in eV/atom: -6.634
Fermi-level density of states in states/eV/cell: 4.55

Computed, not measured: a relaxed structure of SrFeIr at the GGA-PBE level of DFT.

Cell: 4.6951 4.6951 4.6951 Å, 60.00 60.00 60.00°
Fractional coordinates of all 3 atoms:
1 Sr 0.0000 0.0000 0.0000
2 Fe 0.2500 0.2500 0.2500
3 Ir 0.7500 0.7500 0.7500

Calculated values
Crystal system: cubic
E in eV/atom: -4.839
Fermi-level density of states in states/eV/cell: 3.13

Computed, not measured: a relaxed structure of SrFe2Ir at the GGA-PBE level of DFT.

Cell: 4.5977 4.5977 4.5977 Å, 60.00 60.00 60.00°
Fractional coordinates of all 4 atoms:
1 Sr 0.0000 0.0000 0.0000
2 Fe 0.2500 0.2500 0.2500
3 Fe 0.7500 0.7500 0.7500
4 Ir 0.5000 0.5000 0.5000

Calculated values
Crystal system: cubic
E in eV/atom: -6.304
Fermi-level density of states in states/eV/cell: 4.14

Computed, not measured: a relaxed structure of SrFeIr2 at the GGA-PBE level of DFT.

Cell: 4.6443 4.6443 4.6443 Å, 60.00 60.00 60.00°
Fractional coordinates of all 4 atoms:
1 Sr 0.0000 0.0000 0.0000
2 Fe 0.7500 0.7500 0.7500
3 Ir 0.2500 0.2500 0.2500
4 Ir 0.5000 0.5000 0.5000

Calculated values
Crystal system: cubic
E in eV/atom: -6.359
Fermi-level density of states in states/eV/cell: 3.83

Computed, not measured: a relaxed structure of SrFe2Ir at the GGA-PBE level of DFT.

Cell: 4.6680 4.6680 3.0506 Å, 90.00 90.00 90.00°
Fractional coordinates of all 4 atoms:
1 Sr 0.0000 0.0000 0.0000
2 Fe 0.0000 0.5000 0.5000
3 Fe 0.5000 0.0000 0.5000
4 Ir 0.5000 0.5000 0.0000

Calculated values
Crystal system: tetragonal
E in eV/atom: -6.215
Fermi-level density of states in states/eV/cell: 3.78

Computed, not measured: a relaxed structure of SrFe4Ir at the GGA-PBE level of DFT.

Cell: 5.0731 5.0731 5.0731 Å, 60.00 60.00 60.00°
Fractional coordinates of all 6 atoms:
1 Sr 0.0000 0.0000 0.0000
2 Fe 0.1266 0.6245 0.6245
3 Fe 0.6245 0.1266 0.6245
4 Fe 0.6245 0.6245 0.1266
5 Fe 0.6245 0.6245 0.6245
6 Ir 0.2500 0.2500 0.2500

Calculated values
Crystal system: cubic
E in eV/atom: -7.035
Fermi-level density of states in states/eV/cell: 4.68

Computed, not measured: a relaxed structure of SrTaFe2Ir at the GGA-PBE level of DFT.

Cell: 4.6834 4.6834 4.8477 Å, 90.00 90.00 90.00°
Fractional coordinates of all 5 atoms:
1 Sr 0.0000 0.0000 0.0000
2 Ta 0.5000 0.5000 0.0000
3 Fe 0.0000 0.5000 0.5000
4 Fe 0.5000 0.0000 0.5000
5 Ir 0.5000 0.5000 0.5000

Calculated values
Crystal system: tetragonal
E in eV/atom: -6.759
Fermi-level density of states in states/eV/cell: 9.37

no.,spin magnetization (Bohr magnetons per cell)
1,5.42
2,2.27
3,5.66
4,5.74
5,0.00
6,3.36
7,0.00
8,4.46
9,4.71
10,6.26
11,1.83
12,4.74
13,6.32
14,3.27
15,3.72
16,2.92
17,3.43
18,3.31
19,4.33
20,2.67
21,5.67
22,4.04
23,3.80
24,2.67
25,3.47
26,6.29
27,4.20
28,5.61
29,11.24
30,1.16